# 1
A geometry-optimized YHf3Ru structure. Source: Alexandria, functional GGA-PBE.

Values from the calculation:
The spin magnetization is 0.00 μB per cell. The calculation puts the total energy at -8.9709 eV per atom.

```
5
Lattice="-3.665 -2.340 -2.521 0.384 -3.939 3.098 -3.418 2.066 3.052" Properties=species:S:1:pos:R:3 pbc="T T T"
Y -3.349 -2.106 1.814
Ru 0.000 0.000 0.000
Hf 0.192 -1.970 1.549
Hf -1.709 1.033 1.526
Hf -1.833 -1.170 -1.260
```

# 2
A geometry-optimized Y3HfRu structure. Source: Alexandria, functional GGA-PBE.

Values from the calculation:
The spin magnetization is 2.14 μB per cell. The calculation puts the total energy at -6.3861 eV per atom.

```
5
Lattice="5.397 0.000 0.000 0.000 5.397 0.000 0.000 0.000 5.397" Properties=species:S:1:pos:R:3 pbc="T T T"
Y 0.000 2.698 0.000
Y 0.000 0.000 2.698
Y 2.698 0.000 0.000
Ru 2.698 2.698 2.698
Hf 0.000 0.000 0.000
```

# 3
A geometry-optimized Y2Hf2Ru structure. Source: Alexandria, functional GGA-PBE.

Values from the calculation:
The spin magnetization is 0.00 μB per cell. The calculation puts the total energy at -8.5344 eV per atom.

```
10
Lattice="-4.584 -4.802 1.211 0.862 -2.399 -6.248 3.867 -3.243 1.779" Properties=species:S:1:pos:R:3 pbc="T T T"
Y 1.734 -4.041 -3.089
Y -0.419 -6.829 -3.489
Y -1.588 -6.403 -0.170
Y 0.565 -3.615 0.231
Ru 0.000 0.000 0.000
Ru -1.861 -3.601 -2.519
Hf -0.861 -3.699 -4.873
Hf -3.320 -5.634 -3.053
Hf -2.861 -3.502 -0.165
Hf -0.401 -1.567 -1.984
```

# 4
A geometry-optimized YHfRu2 structure. Source: Alexandria, functional GGA-PBE.

Values from the calculation:
The spin magnetization is 0.00 μB per cell. The calculation puts the total energy at -9.3170 eV per atom.

```
4
Lattice="3.303 0.000 0.000 0.000 3.303 0.000 0.000 0.000 6.734" Properties=species:S:1:pos:R:3 pbc="T T T"
Y 1.651 1.651 3.367
Ru 0.000 0.000 5.194
Ru 0.000 0.000 1.541
Hf 1.651 1.651 0.000
```